No. 1
Compound: DyBe3Ni2
Source: the Alexandria database
Functional: PBE-GGA
Structure: relaxed

Cell lengths 4.933, 5.580, 5.580 Å; angles 104.15, 90.00, 90.00 degrees
Sites, in units of the cell vectors:
Be  0.750  0.092  0.464
Be  0.750  0.076  0.076
Be  0.250  0.908  0.536
Be  0.250  0.536  0.908
Dy  0.250  0.327  0.327
Ni  0.500  0.203  0.797
Be  0.750  0.464  0.092
Ni  0.000  0.203  0.797
Ni  0.500  0.797  0.203
Dy  0.750  0.673  0.673
Be  0.250  0.924  0.924
Ni  0.000  0.797  0.203

Summary:
ρ: 6.84 Mg/m³
Total magnetic moment: 0.000 μB per atom
Space-group type: Cmcm
E_tot: -4.904 eV per atom



No. 2
Compound: Sm2ZnIn
Source: the Alexandria database
Functional: PBE-GGA
Structure: relaxed

Cell lengths 3.767, 3.767, 9.574 Å; angles 78.65, 78.65, 60.00 degrees
Sites, in units of the cell vectors:
Sm  0.255  0.255  0.235
In  0.500  0.500  0.500
Zn  0.000  0.000  0.000
Sm  0.745  0.745  0.765

Summary:
ρ: 6.97 Mg/m³
Total magnetic moment: 0.000 μB per atom
Space-group type: R-3m
E_tot: -3.573 eV per atom